PrNd2DyS6: optimized geometry, GGA-PBE. Values from VASP.

```
&SYSTEM
  ibrav = 0, nat = 10, ntyp = 4
/
ATOMIC_SPECIES
Pr 140.91 Pr.upf
Nd 144.24 Nd.upf
Dy 162.50 Dy.upf
S 32.06 S.upf
ATOMIC_POSITIONS crystal
Pr 0.0000 0.0000 0.0000
Nd 0.2898 0.2898 0.2898
Nd 0.7929 0.7929 0.7929
Dy 0.4954 0.4954 0.4954
S 0.1060 0.6878 0.3973
S 0.2051 0.6012 0.8807
S 0.3973 0.1060 0.6878
S 0.6012 0.8807 0.2051
S 0.6878 0.3973 0.1060
S 0.8807 0.2051 0.6012
CELL_PARAMETERS angstrom
3.5728 2.0627 6.2839
-3.5728 2.0627 6.2839
0.0000 -4.1255 6.2839
```

Volume in Å³/atom: 27.79
Uncorrected formation energy in eV per atom: -2.02
Raw total energy in eV per atom: -6.39
Symmetry: R3 (146)